(1)
Compound: Ho2BRu2
Source: Alexandria
Functional: PBE
Structure: optimized geometry

Summary:
The symmetry is C2/c, No. 15. The value obtained for the total moment is 0.0 μB per cell. The value obtained for the formation energy is -0.386 eV per atom.

```
10
Lattice="6.0658 0.4781 -0.0856 3.1676 5.1951 -0.0856 1.2624 0.7756 5.8999" Properties=species:S:1:pos:R:3 pbc="T T T"
Ho 3.8908 1.4958 0.6080
Ho 6.7720 3.2661 2.1707
Ho 6.6051 4.9530 5.1207
Ho 3.7238 3.1827 3.5580
B 3.6493 5.1187 1.3894
B 6.8466 1.3301 4.3393
Ru 8.3986 5.9641 2.9801
Ru 2.0114 2.0397 5.6986
Ru 2.0973 0.4847 2.7486
Ru 8.4845 4.4092 0.0301
```

(2)
Compound: Ho2B6Ru
Source: Alexandria
Functional: PBE
Structure: optimized geometry

Summary:
As for the polymorph energy (0 for the lowest one): 0.000 eV/atom. The symmetry is Pbam, No. 55. The value obtained for the total moment is 0.0 μB per cell. The value obtained for the formation energy is -0.692 eV per atom.

```
36
Lattice="-0.6771 -0.8036 -3.4960 -1.8938 -8.6138 2.3467 -11.0408 2.8326 1.4873" Properties=species:S:1:pos:R:3 pbc="T T T"
Ho -5.1785 -1.6033 1.3715
Ho -7.7561 -4.1779 2.4625
Ho -2.5092 -6.8380 2.0577
Ho -10.4254 1.0567 1.7763
Ho -5.9010 -7.0734 2.7688
Ho -7.0336 1.2922 1.0652
Ho -2.2468 -3.4611 1.2307
Ho -10.6878 -2.3202 2.6033
B -6.1678 -3.9435 0.1951
B -7.4439 -2.6413 0.1430
B -1.1795 -0.6735 -1.5227
B -12.4322 -5.9114 1.8607
B -6.3936 -5.6535 0.6319
B -7.2181 -0.9314 -0.2938
B -1.6895 -2.3105 -1.0476
B -11.9222 -4.2743 1.3857
B -4.7791 -6.4569 0.5039
B -8.8326 -0.1279 -0.1658
B -3.4660 -2.2440 -0.7188
B -10.1456 -4.3409 1.0569
B -3.5797 -5.3177 0.0097
B -10.0319 -1.2671 0.3283
B -4.0631 -0.6439 -0.9710
B -9.5486 -5.9410 1.3090
B -4.5505 -8.2669 0.8756
B -9.0612 1.6820 -0.5376
B -4.4236 -3.7496 -0.1873
B -9.1881 -2.8352 0.5254
B -1.8285 -5.5688 -0.2717
B -11.7832 -1.0160 0.6098
B -5.7319 -0.0176 -0.7917
B -7.8798 -6.5673 1.1298
Ru -4.7539 -4.5834 1.9743
Ru -8.1807 -1.1979 1.8598
Ru -2.2350 -0.6798 0.5891
Ru -10.6996 -5.1015 3.2449
```

(3)
Compound: HoB3Ru3
Source: Alexandria
Functional: PBE
Structure: optimized geometry

Summary:
As for the polymorph energy (0 for the lowest one): 0.000 eV/atom. The symmetry is Pm-3n, No. 223. The value obtained for the total moment is 0.0 μB per cell. The value obtained for the formation energy is -0.198 eV per atom.

```
14
Lattice="-0.6629 5.6282 1.2510 -3.5017 0.6074 -4.5881 -4.5804 -1.2789 3.3265" Properties=species:S:1:pos:R:3 pbc="T T T"
Ru -3.1656 -0.4876 0.5162
Ru -4.9165 -0.1839 -1.7778
Ru -3.7667 1.8549 3.1204
Ru -2.2480 4.5249 -1.3558
Ru -1.4765 2.4944 1.4572
Ru -1.9166 1.7108 -1.9813
B -2.4559 0.7676 1.9760
B -2.8960 -0.0160 -1.4624
B -2.9577 3.2697 -2.8156
B -2.7874 3.5817 2.6015
B -5.1862 -0.6555 0.2009
B -1.2069 2.9660 -0.5215
Ho -4.3725 2.4784 -0.0053
Ho 0.0000 0.0000 0.0000
```

(4)
Compound: HoBRu2
Source: Alexandria
Functional: PBE
Structure: optimized geometry

Summary:
The symmetry is R-3m, No. 166. The value obtained for the total moment is 0.3 μB per cell. The value obtained for the formation energy is -0.110 eV per atom.

```
4
Lattice="-0.1170 -2.9499 1.4268 2.6980 -1.2696 1.3639 -0.7300 1.4762 6.7597" Properties=species:S:1:pos:R:3 pbc="T T T"
Ru 1.2404 -1.7895 7.7047
Ru 0.6106 -0.9538 1.8458
B 0.0000 0.0000 0.0000
Ho 0.9255 -1.3716 4.7752
```

(5)
Compound: HoB2Ru
Source: Alexandria
Functional: PBE
Structure: optimized geometry

Summary:
As for the polymorph energy (0 for the lowest one): 0.000 eV/atom. The symmetry is Pnma, No. 62. The value obtained for the total moment is 0.0 μB per cell. The value obtained for the formation energy is -0.623 eV per atom.

```
16
Lattice="-3.8940 1.1513 -3.4189 -0.0949 -5.6207 -1.7846 -4.3160 -1.3442 4.4631" Properties=species:S:1:pos:R:3 pbc="T T T"
Ho -4.6323 -3.7079 1.9670
Ho -3.8382 -0.6651 2.0872
Ho -3.6726 -2.1056 -2.7074
Ho -4.4667 -5.1485 -2.8276
B -0.5746 -4.8373 -1.6717
B -3.6480 -2.2169 -0.0154
B -6.4421 -1.3571 2.0624
B -5.9452 -3.2158 -1.8561
B -7.7304 -0.9762 0.9313
B -4.6570 -3.5967 -0.7250
B -1.8628 -4.4564 -2.8028
B -2.3597 -2.5978 1.1157
Ru -2.4124 -3.9772 -0.6521
Ru -1.7747 -0.9830 -0.3701
Ru -5.8925 -1.8364 -0.0883
Ru -6.5302 -4.8305 -0.3703
```

(6)
Compound: HoB4Ru4
Source: Alexandria
Functional: PBE
Structure: optimized geometry

Summary:
As for the polymorph energy (0 for the lowest one): 0.029 eV/atom. The symmetry is P4_2/n, No. 86. The value obtained for the total moment is 0.0 μB per cell. The value obtained for the formation energy is -0.470 eV per atom.

```
18
Lattice="4.0580 0.0000 0.0000 0.0000 7.4327 0.0000 0.0000 0.0000 7.4327" Properties=species:S:1:pos:R:3 pbc="T T T"
Ho 0.0000 0.0000 0.0000
Ho 2.0290 3.7163 3.7163
B 2.4861 6.1827 2.1840
B 2.4861 1.2499 5.2487
B 0.4571 5.9003 4.9663
B 3.6009 2.4664 5.9003
B 3.6009 4.9663 1.5324
B 1.5719 2.1840 1.2499
B 1.5719 5.2487 6.1827
B 0.4571 1.5324 2.4664
Ru 1.5704 2.6484 6.6070
Ru 3.5994 4.5420 6.3647
Ru 1.5704 4.7843 0.8257
Ru 0.4586 1.0680 4.5420
Ru 2.4877 6.6070 4.7843
Ru 0.4586 6.3647 2.8907
Ru 3.5994 2.8907 1.0680
Ru 2.4877 0.8257 2.6484
```

(7)
Compound: Ho2B6Ru
Source: Alexandria
Functional: PBE
Structure: optimized geometry

Summary:
As for the polymorph energy (0 for the lowest one): 0.339 eV/atom. The symmetry is Immm, No. 71. The value obtained for the total moment is 0.0 μB per cell. The value obtained for the formation energy is -0.353 eV per atom.

```
9
Lattice="3.4808 0.0000 0.0000 0.0000 5.3520 0.0000 -1.7404 -2.6760 5.8353" Properties=species:S:1:pos:R:3 pbc="T T T"
Ho 1.7404 2.6760 3.9520
Ho 0.0000 0.0000 1.8832
B 1.7404 3.4734 1.3958
B 0.0000 -0.7974 4.4395
B 0.0000 0.7974 4.4395
B 1.7404 0.8978 0.0000
B 1.7404 4.4542 0.0000
B 1.7404 1.8786 1.3958
Ru 0.0000 2.6760 0.0000
```

(8)
Compound: Ho2ScB2Ru5
Source: Alexandria
Functional: PBE
Structure: optimized geometry

Summary:
The symmetry is P4/mbm, No. 127. The value obtained for the total moment is 0.0 μB per cell. The value obtained for the formation energy is -0.466 eV per atom.

```
20
Lattice="-1.9342 2.4687 0.2012 -4.8390 -4.3788 7.2077 5.9424 4.1263 6.4963" Properties=species:S:1:pos:R:3 pbc="T T T"
Ho -2.2251 -2.2339 6.0187
Ho 3.3284 1.9814 7.6853
Ho 1.0714 0.5644 3.3735
Ho 0.0320 -0.8169 10.3305
Sc 0.0000 0.0000 0.0000
Sc 0.5517 -0.1262 6.8520
B 3.1059 2.0323 4.9209
B -2.0025 -2.2848 8.7831
B 2.2068 0.8987 10.1870
B -1.1035 -1.1512 3.5170
Ru -1.6315 0.5456 2.1652
Ru 0.8006 1.6707 11.7400
Ru 3.3093 4.1325 5.6511
Ru -1.9123 -0.1587 8.1071
Ru -4.1402 -1.9162 8.2541
Ru 1.0814 2.3750 5.7981
Ru 0.5726 1.7229 8.9082
Ru -1.4035 0.4934 4.9971
Ru -3.3866 -0.9550 3.7044
Ru 2.0041 3.2975 3.3488
```

(9)
Compound: Ho3Si2BRu3
Source: Alexandria
Functional: PBE
Structure: optimized geometry

Summary:
The uncorrected formation energy is -0.599 eV per atom. The symmetry is P-62m, No. 189. The value obtained for the total moment is 0.0 μB per cell.

```
9
Lattice="3.5223 0.0000 0.0000 0.0000 7.0321 0.0000 0.0000 -3.5161 6.0900" Properties=species:S:1:pos:R:3 pbc="T T T"
Ho 0.0000 -1.3351 2.3125
Ho 0.0000 2.1810 3.7775
Ho 0.0000 2.6702 0.0000
Si 1.7611 0.0000 4.0600
Si 1.7611 3.5161 2.0300
B 0.0000 0.0000 0.0000
Ru 1.7611 5.3981 0.0000
Ru 1.7611 0.8170 1.4151
Ru 1.7611 -2.6991 4.6749
```

(10)
Compound: Ho2Si2BRu2
Source: Alexandria
Functional: PBE
Structure: optimized geometry

Summary:
The uncorrected formation energy is -0.825 eV per atom. The symmetry is C2/m, No. 12. The value obtained for the total moment is 0.0 μB per cell.

```
7
Lattice="4.1424 0.0000 0.0000 2.0712 5.4753 -0.5085 2.0712 1.5450 5.1542" Properties=species:S:1:pos:R:3 pbc="T T T"
Ho 4.1424 2.0147 3.5138
Ho 4.1424 5.0056 1.1319
Si 2.0712 2.6451 1.3213
Si 6.2136 4.3752 3.3244
B 0.0000 0.0000 0.0000
Ru 4.1424 5.1114 4.2425
Ru 4.1424 1.9089 0.4031
```

(11)
Compound: Ho3Sn2BRu3
Source: Alexandria
Functional: PBE
Structure: optimized geometry

Summary:
The symmetry is P-62m, No. 189. The value obtained for the total moment is 0.0 μB per cell. The value obtained for the formation energy is -0.476 eV per atom.

```
9
Lattice="-2.8059 1.9005 -1.0473 -4.1500 -6.2339 -0.1939 0.3910 4.0452 6.2932" Properties=species:S:1:pos:R:3 pbc="T T T"
Ho 0.1365 1.4120 2.1966
Ho -2.4469 -1.4247 3.9704
Ho -1.4485 -2.1759 -0.0677
Sn -2.5256 1.5691 3.6072
Sn -4.0393 -1.8573 1.4448
B 0.0000 0.0000 0.0000
Ru -4.6531 -3.9319 -0.6755
Ru -2.2181 0.4757 0.7989
Ru -1.0967 4.1183 4.4050
```

(12)
Compound: Ho2TiB2Ru5
Source: Alexandria
Functional: PBE
Structure: optimized geometry

Summary:
The symmetry is P4/mbm, No. 127. The value obtained for the total moment is 0.0 μB per cell. The value obtained for the formation energy is -0.528 eV per atom.

```
20
Lattice="3.1124 0.0000 0.0000 0.0000 9.6008 0.0000 0.0000 0.0000 9.6008" Properties=species:S:1:pos:R:3 pbc="T T T"
Ho 0.0000 6.4854 1.6850
Ho 0.0000 3.1154 7.9158
Ho 0.0000 1.6850 3.1154
Ho 0.0000 7.9158 6.4854
Ti 0.0000 0.0000 0.0000
Ti 0.0000 4.8004 4.8004
B 0.0000 1.1779 5.9783
B 0.0000 8.4229 3.6225
B 0.0000 5.9783 8.4229
B 0.0000 3.6225 1.1779
Ru 1.5562 2.0792 0.6722
Ru 1.5562 7.5217 8.9286
Ru 1.5562 0.6722 7.5217
Ru 1.5562 6.8796 4.1282
Ru 1.5562 8.9286 2.0792
Ru 1.5562 2.7213 5.4726
Ru 1.5562 5.4726 6.8796
Ru 1.5562 4.1282 2.7213
Ru 1.5562 4.8004 0.0000
Ru 1.5562 0.0000 4.8004
```

(13)
Compound: Ho2B2Ru5W
Source: Alexandria
Functional: PBE
Structure: optimized geometry

Summary:
The symmetry is P4/mbm, No. 127. The value obtained for the total moment is 0.0 μB per cell. The value obtained for the formation energy is -0.455 eV per atom.

```
20
Lattice="3.0956 0.0000 0.0000 0.0000 9.6410 0.0000 0.0000 0.0000 9.6410" Properties=species:S:1:pos:R:3 pbc="T T T"
Ho 0.0000 6.5142 1.6937
Ho 0.0000 3.1269 7.9474
Ho 0.0000 1.6937 3.1269
Ho 0.0000 7.9474 6.5142
B 0.0000 1.1513 5.9718
B 0.0000 8.4897 3.6692
B 0.0000 5.9718 8.4897
B 0.0000 3.6692 1.1513
Ru 1.5478 2.0808 0.6672
Ru 1.5478 7.5602 8.9738
Ru 1.5478 0.6672 7.5602
Ru 1.5478 6.9014 4.1533
Ru 1.5478 8.9738 2.0808
Ru 1.5478 2.7397 5.4877
Ru 1.5478 5.4877 6.9014
Ru 1.5478 4.1533 2.7397
Ru 1.5478 4.8205 0.0000
Ru 1.5478 0.0000 4.8205
W 0.0000 0.0000 0.0000
W 0.0000 4.8205 4.8205
```

(14)
Compound: HoZn2BRu2
Source: Alexandria
Functional: PBE
Structure: optimized geometry

Summary:
The symmetry is P4/mmm, No. 123. The value obtained for the total moment is 0.0 μB per cell. The value obtained for the formation energy is -0.367 eV per atom.

```
6
Lattice="-1.1894 1.5044 3.7326 0.9555 -3.6754 1.7858 4.9686 1.7235 0.8886" Properties=species:S:1:pos:R:3 pbc="T T T"
Ho 2.4843 0.8618 0.4443
Zn 3.4911 0.1661 3.4045
Zn 1.2437 -0.6135 3.0025
B 0.0000 0.0000 0.0000
Ru -0.5947 0.7522 1.8663
Ru 0.4778 -1.8377 0.8929
```

(15)
Compound: Ho3Zn2BRu3
Source: Alexandria
Functional: PBE
Structure: optimized geometry

Summary:
The symmetry is P-62m, No. 189. The value obtained for the total moment is 0.0 μB per cell. The value obtained for the formation energy is -0.352 eV per atom.

```
9
Lattice="-2.8763 -1.1844 1.4358 3.4197 -6.1075 1.8124 -0.0358 5.6127 4.5582" Properties=species:S:1:pos:R:3 pbc="T T T"
Ho -0.0130 2.0325 1.6506
Ho 2.1585 -0.3156 4.0637
Ho 1.2383 -2.2116 0.6563
Zn -0.3221 1.1138 4.3609
Zn 0.8297 -2.7930 3.4456
B 0.0000 0.0000 0.0000
Ru 1.1997 -5.3033 2.1159
Ru -0.6644 -0.7053 2.1745
Ru -1.4658 3.7372 4.2339
```

(16)
Compound: Ho3BS6
Source: Alexandria
Functional: PBE
Structure: optimized geometry

Summary:
The uncorrected formation energy is -1.622 eV per atom. The symmetry is Cmc2_1, No. 36. The value obtained for the total moment is 0.0 μB per cell.

```
20
Lattice="-5.9560 1.0697 1.5165 -1.8111 -8.0429 -1.4399 2.0435 -0.1264 8.1148" Properties=species:S:1:pos:R:3 pbc="T T T"
Ho -3.0942 -6.9620 5.2218
Ho -5.2891 -4.8188 7.9212
Ho -1.8164 -2.8700 4.8914
Ho -5.5714 -3.9307 3.7238
Ho -5.4365 0.3665 3.6844
Ho -3.2416 -1.7767 0.9850
B 1.0840 -1.6415 6.2939
B -4.2375 -5.9197 1.2431
S -1.0845 -5.4440 4.4210
S -3.8325 -4.4368 5.7494
S 0.0715 -3.1971 6.9109
S -4.7786 -6.5072 3.0286
S 0.9428 -0.3953 7.8241
S -3.0602 -1.0007 7.2224
S -2.3330 -6.1582 0.8849
S -5.4720 -6.9189 0.0632
S 0.0022 -0.7625 4.9216
S -4.8479 -4.0726 1.0394
S -1.1598 -2.7942 2.2559
S -3.9078 -1.7870 3.5843
```

(17)
Compound: Ho3BS2
Source: Alexandria
Functional: PBE
Structure: optimized geometry

Summary:
The uncorrected formation energy is -1.471 eV per atom. The symmetry is Fddd, No. 70. The value obtained for the total moment is 0.0 μB per cell.

```
24
Lattice="-2.4489 -3.6714 -5.0588 -2.7700 -2.0612 5.7573 -5.9275 10.4694 -1.7345" Properties=species:S:1:pos:R:3 pbc="T T T"
Ho -7.1773 6.6284 1.6943
Ho -6.8987 5.9077 -3.9784
Ho -4.4036 6.6119 -1.2428
Ho -7.1312 3.6612 -0.6289
Ho -4.4752 4.0652 2.0283
Ho -6.8317 1.4767 2.3437
Ho -4.0226 1.1128 -0.1573
Ho -6.7353 -1.9123 -0.0431
Ho -4.0798 -2.0133 -2.7155
Ho -4.1370 -1.0494 2.9276
Ho -1.1783 -1.2942 0.1577
Ho -4.0406 -4.4384 0.5408
B -9.7173 3.4640 -0.8041
B -7.0825 4.0437 1.9541
B -4.2244 1.4982 2.4179
B -1.4291 1.2727 -0.2319
S -9.7131 5.7244 -3.9068
S -7.1642 6.3805 -1.1625
S -6.8657 3.1884 -3.4448
S -4.3167 3.8445 -0.7005
S -6.8296 0.8923 -0.3356
S -4.1201 0.7432 -2.9993
S -3.9822 -1.6437 0.1265
S -1.2727 -1.7927 -2.5372
```

(18)
Compound: Ho2BS4
Source: Alexandria
Functional: PBE
Structure: optimized geometry

Summary:
The uncorrected formation energy is -1.149 eV per atom. The symmetry is I-42m, No. 121. The value obtained for the total moment is 0.0 μB per cell.

```
7
Lattice="-4.2875 -4.2341 -2.5283 3.9931 -1.0146 -5.0723 1.9643 -0.4352 5.8427" Properties=species:S:1:pos:R:3 pbc="T T T"
Ho -1.2352 -3.6468 -0.2429
Ho 2.9051 -2.0371 -1.5150
B -0.1472 -2.6243 -3.8003
S -1.2683 -3.9098 -2.8692
S 1.7937 -2.7193 -3.8099
S 1.3527 -3.3398 0.1764
S 1.4616 -1.3989 2.9870
```